Material: TlSbPt2
Method: DFT, GGA-PBE
State: relaxed

The mass density is 15.01 g cm⁻³. The calculation puts the density of states at the Fermi level at 0.344 states/eV/atom. The energy comes out at -4.6338 eV per atom. The calculation puts the uncorrected formation energy at 0.04 eV per formula unit.

It has space group Pmmm (No. 47), with a = 3.267 Å, b = 4.916 Å, c = 4.933 Å, α = 90.00°, β = 90.00° and γ = 90.00°. The distinct sites, in fractional coordinates, are Tl at (0.000, 0.000, 0.000), Sb at (0.000, 0.500, 0.500), Pt at (0.500, 0.000, 0.500) and Pt at (0.500, 0.500, 0.000).